# SmHo3Er2Bi6 (PBE-GGA, relaxed)
data_SmHo3Er2Bi6
_chemical_formula_sum 'Sm2 Ho6 Er4 Bi12'
_cell_length_a 19.489
_cell_length_b 4.472
_cell_length_c 8.946
_cell_angle_alpha 90.00
_cell_angle_beta 103.22
_cell_angle_gamma 90.00
_space_group_name_H-M_alt 'C 1 2/m 1'
_space_group_IT_number 12
loop_
_space_group_symop_operation_xyz
'x,y,z'
'-x,-y,-z'
'-x,y,-z'
'x,-y,z'
'x+1/2,y+1/2,z'
'-x+1/2,-y+1/2,-z'
'-x+1/2,y+1/2,-z'
'x+1/2,-y+1/2,z'
loop_
_atom_site_label
_atom_site_fract_x
_atom_site_fract_y
_atom_site_fract_z
Sm1 0.000 0.000 0.000
Ho1 0.000 0.000 0.500
Ho2 0.165 0.500 0.833
Er1 0.167 0.500 0.333
Bi1 0.001 0.500 0.255
Bi2 0.167 0.000 0.582
Bi3 0.169 0.000 0.085
# DFT formation energy = -842 meV/atom